## Mn2InO (GGA+U)

Data for an optimized crystal structure of Mn2InO.

Cell and atoms, written as POSCAR:
```
Mn2InO
1.0
0.000 3.247 3.247
3.247 0.000 3.247
3.247 3.247 0.000
O In Mn
1 1 2
Cartesian
0.000 0.000 0.000
3.247 3.247 3.247
1.624 1.624 1.624
4.871 4.871 4.871
```

## Properties
- energy (eV per atom) = -5.3148
- density of states at the Fermi level (states/eV/cell) = 3.748
- theoretical density (kg/m³) = 5837